{
  "formula": "BaPb4Au4",
  "functional": "GGA-PBE",
  "state": "relaxed",
  "space_group": "No. 137",
  "rho_kg_m3": 11246,
  "formation_energy_ev_per_atom": -0.254,
  "total_energy_ev_per_cell": -64.30,
  "m_tot_mub_per_fu": 0.0,
  "lattice_angstrom": [[-3.387, 6.430, -0.807], [-5.882, -3.433, -2.662], [-3.603, -0.773, 8.959]],
  "species": ["Ba", "Ba", "Pb", "Pb", "Pb", "Pb", "Pb", "Pb", "Pb", "Pb", "Au", "Au", "Au", "Au", "Au", "Au", "Au", "Au"],
  "fractional_positions": [[0.000, 0.000, 0.000], [0.500, 0.500, 0.500], [0.247, 0.500, 0.862], [0.753, 0.500, 0.862], [0.500, 0.753, 0.138], [0.500, 0.247, 0.138], [0.000, 0.747, 0.362], [0.000, 0.253, 0.362], [0.253, 0.000, 0.638], [0.747, 0.000, 0.638], [0.500, 0.807, 0.841], [0.500, 0.193, 0.841], [0.807, 0.500, 0.159], [0.193, 0.500, 0.159], [0.307, 0.000, 0.341], [0.693, 0.000, 0.341], [0.000, 0.307, 0.659], [0.000, 0.693, 0.659]]
}



{
  "formula": "AlOs2Pb",
  "functional": "GGA-PBE",
  "state": "relaxed",
  "space_group": "No. 12",
  "rho_kg_m3": 14803,
  "formation_energy_ev_per_atom": 0.462,
  "total_energy_ev_per_cell": -28.06,
  "m_tot_mub_per_fu": 0.0,
  "lattice_angstrom": [[4.604, -0.002, 0.009], [3.605, 2.862, 0.009], [0.977, 0.340, 5.232]],
  "species": ["Pb", "Os", "Os", "Al"],
  "fractional_positions": [[0.750, 0.750, 0.750], [0.979, 0.979, 0.055], [0.521, 0.521, 0.445], [0.250, 0.250, 0.250]]
}



{
  "formula": "ScAsN2Cl",
  "functional": "GGA-PBE",
  "state": "relaxed",
  "space_group": "No. 123",
  "rho_kg_m3": 3556,
  "total_energy_ev_per_cell": -26.01,
  "e_form_raw_ev_per_atom": 0.69,
  "m_tot_mub_per_fu": 0.0,
  "lattice_angstrom": [[-0.827, -3.726, 1.626], [0.819, -2.114, -4.429], [4.007, -0.469, 0.965]],
  "species": ["Sc", "As", "N", "N", "Cl"],
  "fractional_positions": [[0.000, 0.000, 0.000], [0.500, 0.500, 0.500], [0.000, 0.000, 0.500], [0.500, 0.000, 0.000], [0.000, 0.500, 0.000]]
}